1.
14
Lattice="6.8509 0.2468 -0.1101 -0.2478 6.8508 0.1083 -3.2221 -3.6235 4.8477" Properties=species:S:1:pos:R:3 comment="GGA-PBE PmHo2O4, optimized geometry" final_energy_ev_per_atom=-8.0505 e_form_raw_kj_per_mol_fu=-2182.0 pbc="T T T"
Pm -0.0834 3.3879 2.4774
Pm 6.8501 0.2470 -0.1099
Ho 3.2595 5.2428 1.2379
Ho -1.6531 -0.1177 3.6626
Ho 1.7723 0.0057 3.6076
Ho 3.3834 1.8175 1.1837
O 3.5386 -1.4807 3.4382
O 3.4287 1.6184 3.4874
O 4.8685 3.5891 1.0690
O 0.1159 -1.6070 3.7278
O 1.8982 0.0457 1.2985
O 1.7697 3.4753 1.1182
O 4.9970 0.1595 1.2493
O 0.0060 1.4921 3.7769

=====

2.
8
Lattice="7.0232 0.0000 0.0000 0.0000 7.0232 0.0000 3.5116 3.5116 2.9158" Properties=species:S:1:pos:R:3 comment="GGA-PBE Zr2AlB, optimized geometry" e_above_lowest_polymorph_ev_per_fu=1.585 final_energy_ev_per_atom=-6.8520 formation_energy_kcal_per_mol_atoms=0.62 pbc="T T T"
Al 7.0232 3.5116 1.4579
Al 0.0000 0.0000 0.0000
Zr 5.2674 5.5796 2.1869
Zr 8.7789 8.4667 2.1869
Zr 2.0680 5.2674 0.7290
Zr 4.9551 1.7558 0.7290
B 3.5116 7.0232 1.4579
B 3.5116 3.5116 0.0000

=====

3.
20
Lattice="4.9811 0.0000 0.0000 0.0000 4.9811 0.0000 0.0000 0.0000 25.0629" Properties=species:S:1:pos:R:3 comment="GGA-PBE Nd15TlIn4, optimized geometry" final_energy_ev_per_atom=-4.5026 formation_energy_kcal_per_mol_atoms=-6.01 pbc="T T T"
Nd 2.4906 2.4906 0.0000
Nd 2.4906 2.4906 10.0242
Nd 0.0000 2.4906 7.5181
Nd 2.4906 0.0000 12.5315
Nd 2.4906 2.4906 20.0479
Nd 0.0000 2.4906 17.5448
Nd 2.4906 2.4906 15.0387
Nd 2.4906 0.0000 17.5448
Nd 2.4906 0.0000 22.5438
Nd 0.0000 2.4906 12.5315
Nd 2.4906 0.0000 2.5191
Nd 2.4906 2.4906 5.0150
Nd 2.4906 0.0000 7.5181
Nd 0.0000 2.4906 22.5438
Nd 0.0000 2.4906 2.5191
In 0.0000 0.0000 10.0242
In 0.0000 0.0000 15.0388
In 0.0000 0.0000 5.0101
In 0.0000 0.0000 20.0528
Tl 0.0000 0.0000 0.0000

=====

4.
5
Lattice="-0.0890 -5.0131 -3.4930 5.8150 -1.1420 1.4908 -1.8758 -3.3023 4.7872" Properties=species:S:1:pos:R:3 comment="GGA-PBE Na3SrPt, optimized geometry" e_above_lowest_polymorph_ev_per_fu=5.730 final_energy_ev_per_atom=-1.1284 formation_energy_kcal_per_mol_atoms=27.85 pbc="T T T"
Pt 1.9251 -4.7287 1.3925
Sr 0.0000 0.0000 0.0000
Na -0.0445 -2.5066 -1.7465
Na 2.9075 -0.5710 0.7454
Na -0.9379 -1.6511 2.3936